1.
This record from Alexandria via LeMat-Bulk describes Li2YHoSe4 after structural relaxation. The functional is PBE.

```
data_Li2YHoSe4
_cell_length_a 6.905
_cell_length_b 4.064
_cell_length_c 7.035
_cell_angle_alpha 90.00
_cell_angle_beta 109.81
_cell_angle_gamma 90.00
_space_group_name_H-M_alt 'P 1 2/m 1'
_space_group_IT_number 10
_space_group_name_Hall '-P 2y'
loop_
_atom_site_label
_atom_site_fract_x
_atom_site_fract_y
_atom_site_fract_z
Li1 0.000 0.000 0.000
Li2 0.000 0.500 0.500
Y1 0.500 0.000 0.500
Ho1 0.500 0.500 0.000
Se1 0.247 0.000 0.751
Se2 0.247 0.500 0.248
```

***

2.
This record from Alexandria via LeMat-Bulk describes Li3Y2HoSe6 after structural relaxation. The functional is PBE.

```
data_Li3Y2HoSe6
_cell_length_a 7.042
_cell_length_b 12.198
_cell_length_c 6.910
_cell_angle_alpha 90.00
_cell_angle_beta 109.86
_cell_angle_gamma 90.00
_space_group_name_H-M_alt 'C 1 2/m 1'
_space_group_IT_number 12
_space_group_name_Hall '-C 2y'
loop_
_atom_site_label
_atom_site_fract_x
_atom_site_fract_y
_atom_site_fract_z
Li1 0.000 0.000 0.000
Li2 0.000 0.333 0.000
Y1 0.000 0.167 0.500
Ho1 0.000 0.500 0.500
Se1 0.248 0.500 0.247
Se2 0.250 0.166 0.247
```

***

Energy relative to the elements, uncorrected: -13.61; -20.43 (eV/f.u.)